# 1
# YInPdPt

An optimized crystal structure of YInPdPt (PBE, OQMD via LeMat-Bulk).

Its crystal system is hexagonal.

Lattice parameters (Å, degrees): 4.603 4.603 8.985 90.00 90.00 120.00
Sites, in units of the cell vectors:
In 0.000 0.000 0.250
In 0.000 0.000 0.750
Pd 0.667 0.333 0.339
Pd 0.667 0.333 0.661
Pt 0.333 0.667 0.163
Pt 0.333 0.667 0.837
Y 0.667 0.333 0.000
Y 0.333 0.667 0.500

---

# 2
# YInPdPt

An optimized crystal structure of YInPdPt (PBE, OQMD via LeMat-Bulk).

Its crystal system is trigonal.

Lattice parameters (Å, degrees): 4.599 4.599 9.003 90.00 90.00 120.00
Sites, in units of the cell vectors:
In 0.000 0.000 0.000
In 0.000 0.000 0.500
Pd 0.333 0.667 0.085
Pd 0.667 0.333 0.915
Pt 0.333 0.667 0.405
Pt 0.667 0.333 0.595
Y 0.667 0.333 0.256
Y 0.333 0.667 0.744

---

# 3
# YInPdPt

An optimized crystal structure of YInPdPt (PBE, OQMD via LeMat-Bulk).

Its crystal system is hexagonal.

Lattice parameters (Å, degrees): 4.596 4.596 8.998 90.00 90.00 120.00
Sites, in units of the cell vectors:
In 0.000 0.000 0.002
In 0.000 0.000 0.502
Pd 0.333 0.667 0.412
Pd 0.667 0.333 0.912
Pt 0.333 0.667 0.089
Pt 0.667 0.333 0.589
Y 0.667 0.333 0.248
Y 0.333 0.667 0.748

---

# 4
# Zr3Zn2InPdPt2

An optimized crystal structure of Zr3Zn2InPdPt2 (PBE, OQMD via LeMat-Bulk).

Its crystal system is orthorhombic.

Lattice parameters (Å, degrees): 3.549 7.329 7.329 119.39 90.00 90.00
Sites, in units of the cell vectors:
In 0.500 0.741 0.741
Pd 0.000 0.016 0.016
Pt 0.500 0.662 0.326
Pt 0.500 0.326 0.662
Zn 0.500 0.998 0.265
Zn 0.500 0.265 0.998
Zr 0.000 0.592 0.007
Zr 0.000 0.393 0.393
Zr 0.000 0.007 0.592

---

# 5
# Zr3In3Pd2Pt

An optimized crystal structure of Zr3In3Pd2Pt (PBE, OQMD via LeMat-Bulk).

Its crystal system is hexagonal.

Lattice parameters (Å, degrees): 7.542 7.542 3.630 90.00 90.00 120.00
Sites, in units of the cell vectors:
In 0.727 0.000 0.500
In 0.273 0.273 0.500
In 0.000 0.727 0.500
Pd 0.667 0.333 0.500
Pd 0.333 0.667 0.500
Pt 0.000 0.000 0.000
Zr 0.391 0.000 0.000
Zr 0.000 0.391 0.000
Zr 0.609 0.609 0.000

---

# 6
# PuIn2Pd

An optimized crystal structure of PuIn2Pd (PBE, OQMD via LeMat-Bulk).

Its crystal system is orthorhombic.

Lattice parameters (Å, degrees): 5.666 5.666 7.774 90.00 90.00 132.68
Sites, in units of the cell vectors:
In 0.141 0.859 0.052
In 0.141 0.859 0.448
In 0.859 0.141 0.552
In 0.859 0.141 0.948
Pd 0.715 0.285 0.250
Pd 0.285 0.715 0.750
Pu 0.432 0.568 0.250
Pu 0.568 0.432 0.750

---

# 7
# RbInPd

An optimized crystal structure of RbInPd (PBE, OQMD via LeMat-Bulk).

Its crystal system is cubic.

Lattice parameters (Å, degrees): 5.110 5.110 5.110 60.00 60.00 60.00
Sites, in units of the cell vectors:
In 0.250 0.250 0.250
Pd 0.000 0.000 0.000
Rb 0.750 0.750 0.750

---

# 8
# RbInPd

An optimized crystal structure of RbInPd (PBE, OQMD via LeMat-Bulk).

Its crystal system is cubic.

Lattice parameters (Å, degrees): 5.366 5.366 5.366 60.00 60.00 60.00
Sites, in units of the cell vectors:
In 0.250 0.250 0.250
Pd 0.750 0.750 0.750
Rb 0.000 0.000 0.000

---

| no. | calculated total energy (eV for the cell shown) | V (Å³ per atom) |
| --- | --- | --- |
| 1 | -48.08 | 20.605 |
| 2 | -48.09 | 20.611 |
| 3 | -48.13 | 20.571 |
| 4 | -54.95 | 18.458 |
| 5 | -56.01 | 19.872 |
| 6 | -53.16 | 22.934 |
| 7 | -8.55 | 31.445 |
| 8 | -6.88 | 36.419 |